Entry from Alexandria: CsBeMo2O8 after structural relaxation (PBE with a Hubbard U).

POSCAR file:
```
CsBeMo2O8
1.0
5.560 0.000 0.000
-2.780 4.815 0.000
0.000 0.000 8.346
Cs Be Mo O
1 1 2 8
direct
0.000 0.000 0.000
0.000 0.000 0.500
0.333 0.667 0.694
0.667 0.333 0.306
0.154 0.310 0.627
0.156 0.846 0.627
0.310 0.156 0.373
0.333 0.667 0.906
0.667 0.333 0.094
0.690 0.844 0.627
0.844 0.154 0.373
0.846 0.690 0.373
```

Values from the calculation:
- VASP energy (eV per atom) = -6.487
- total magnetic moment (μB/cell) = 1.1